Entry from Alexandria via LeMat-Bulk: a relaxed KHOs3 crystal (PBE).

Output
Space-group type: Pm-3m
VASP energy, eV per atom: -6.004
Mass density, Mg/m³: 14.507

a b c (Å): 4.120 4.120 4.120
angles (deg): 90.00 90.00 90.00
Atoms (fractional coordinates):
H  0.000  0.000  0.000
K  0.500  0.500  0.500
Os  0.000  0.500  0.000
Os  0.000  0.000  0.500
Os  0.500  0.000  0.000

Entry from Alexandria via LeMat-Bulk: a relaxed Pm2HgPb2 crystal (PBE).

Output
Space-group type: P6_3/mmc
VASP energy, eV per atom: -3.832
Mass density, Mg/m³: 9.906

a b c (Å): 4.986 4.986 14.094
angles (deg): 90.00 90.00 120.00
Atoms (fractional coordinates):
Pm  0.333  0.667  0.607
Pm  0.667  0.333  0.107
Pm  0.667  0.333  0.393
Pm  0.333  0.667  0.893
Hg  0.000  0.000  0.250
Hg  0.000  0.000  0.750
Pb  0.667  0.333  0.750
Pb  0.000  0.000  0.000
Pb  0.000  0.000  0.500
Pb  0.333  0.667  0.250

Entry from Alexandria via LeMat-Bulk: a relaxed KNaBiO3 crystal (PBE).

Output
Space-group type: P2_1/m
E_form (uncorrected), meV per atom: -1275
Mass density, Mg/m³: 5.161

a b c (Å): 3.517 8.646 6.761
angles (deg): 87.11 90.00 90.00
Atoms (fractional coordinates):
K  0.750  0.678  0.571
K  0.250  0.322  0.429
Na  0.250  0.017  0.783
Na  0.750  0.983  0.217
Bi  0.250  0.679  0.077
Bi  0.750  0.321  0.923
O  0.250  0.817  0.326
O  0.750  0.810  0.928
O  0.750  0.519  0.187
O  0.750  0.183  0.674
O  0.250  0.481  0.813
O  0.250  0.190  0.072

Entry from Alexandria via LeMat-Bulk: a relaxed ErPu3Pb4 crystal (PBE).

Output
Space-group type: Pmmm
VASP energy, eV per atom: -7.959
Mass density, Mg/m³: 12.754

a b c (Å): 4.522 4.988 9.975
angles (deg): 90.00 90.00 90.00
Atoms (fractional coordinates):
Pb  0.000  0.000  0.500
Pb  0.000  0.500  0.753
Pb  0.000  0.000  0.000
Pb  0.000  0.500  0.247
Pu  0.500  0.000  0.251
Pu  0.500  0.500  0.500
Pu  0.500  0.000  0.749
Er  0.500  0.500  0.000

Entry from Alexandria via LeMat-Bulk: a relaxed YZrSe2N crystal (PBE).

Output
Space-group type: P4/mmm
E_form (uncorrected), meV per atom: -886
Mass density, Mg/m³: 5.162

a b c (Å): 5.296 5.296 4.038
angles (deg): 90.00 90.00 90.00
Atoms (fractional coordinates):
Y  0.500  0.500  0.500
Se  0.000  0.500  0.000
Se  0.500  0.000  0.000
Zr  0.000  0.000  0.000
N  0.000  0.000  0.500

Entry from Alexandria via LeMat-Bulk: a relaxed GaAsOF2 crystal (PBE).

Output
Space-group type: P4/mmm
E_form (uncorrected), meV per atom: -1268
Mass density, Mg/m³: 4.315

a b c (Å): 4.407 4.407 3.937
angles (deg): 90.00 90.00 90.00
Atoms (fractional coordinates):
As  0.000  0.000  0.000
O  0.000  0.000  0.500
Ga  0.500  0.500  0.500
F  0.000  0.500  0.000
F  0.500  0.000  0.000

Entry from Alexandria via LeMat-Bulk: a relaxed RbTb4YS8 crystal (PBE).

Output
Space-group type: R3m
E_form (uncorrected), meV per atom: -1907
Mass density, Mg/m³: 4.376

a b c (Å): 8.306 8.306 8.300
angles (deg): 59.97 59.97 60.00
Atoms (fractional coordinates):
Rb  0.375  0.375  0.875
Tb  0.625  0.625  0.125
Tb  0.004  0.486  0.505
Tb  0.486  0.004  0.505
Tb  0.004  0.004  0.505
Y  0.005  0.005  0.986
S  0.231  0.807  0.732
S  0.807  0.231  0.732
S  0.231  0.231  0.732
S  0.231  0.231  0.307
S  0.758  0.228  0.256
S  0.228  0.758  0.256
S  0.758  0.758  0.256
S  0.757  0.757  0.728

Entry from Alexandria via LeMat-Bulk: a relaxed Ce2TlCd crystal (PBE).

Output
Space-group type: Cmmm
VASP energy, eV per atom: -3.989
Mass density, Mg/m³: 9.191

a b c (Å): 3.293 6.807 5.894
angles (deg): 125.27 90.00 90.00
Atoms (fractional coordinates):
Ce  0.000  0.000  0.000
Ce  0.000  0.500  0.000
Tl  0.500  0.500  0.500
Cd  0.500  0.000  0.500

Entry from Alexandria via LeMat-Bulk: a relaxed Mg2ZnAu2 crystal (PBE).

Output
Space-group type: I4/mmm
VASP energy, eV per atom: -2.377
Mass density, Mg/m³: 8.044

a b c (Å): 4.139 4.139 6.784
angles (deg): 72.24 72.24 90.00
Atoms (fractional coordinates):
Zn  0.000  0.000  0.000
Au  0.390  0.390  0.220
Au  0.610  0.610  0.780
Mg  0.750  0.250  0.500
Mg  0.250  0.750  0.500

Entry from Alexandria via LeMat-Bulk: a relaxed La4Sb2O crystal (PBE).

Output
Space-group type: I4/mmm
E_form (uncorrected), meV per atom: -1343
Mass density, Mg/m³: 6.108

a b c (Å): 4.718 4.718 10.499
angles (deg): 77.02 77.02 90.00
Atoms (fractional coordinates):
Sb  0.157  0.157  0.685
Sb  0.843  0.843  0.315
O  0.000  0.000  0.000
La  0.324  0.324  0.353
La  0.676  0.676  0.647
La  0.000  0.500  0.000
La  0.500  0.000  0.000

Entry from Alexandria via LeMat-Bulk: a relaxed MnCrPdN crystal (PBE).

Output
Space-group type: Imm2
E_form (uncorrected), meV per atom: -114
Mass density, Mg/m³: 7.649

a b c (Å): 3.091 3.803 8.398
angles (deg): 90.00 90.00 90.00
Atoms (fractional coordinates):
Mn  0.000  0.500  0.208
Mn  0.500  0.000  0.708
Cr  0.000  0.500  0.873
Cr  0.500  0.000  0.373
Pd  0.000  0.500  0.530
Pd  0.500  0.000  0.030
N  0.000  0.000  0.251
N  0.500  0.500  0.751

Entry from Alexandria via LeMat-Bulk: a relaxed Dy2CuTe crystal (PBE).

Output
Space-group type: R-3m
E_form (uncorrected), meV per atom: -692
Mass density, Mg/m³: 8.090

a b c (Å): 4.091 4.091 7.681
angles (deg): 74.55 74.55 60.00
Atoms (fractional coordinates):
Te  0.500  0.500  0.500
Cu  0.000  0.000  0.000
Dy  0.259  0.259  0.222
Dy  0.741  0.741  0.778